Record 1
{"formula": "Ta3Ga", "functional": "PBE", "state": "optimized geometry", "lattice_angstrom": [[-1.997, 1.997, 4.434], [1.997, -1.997, 4.434], [1.997, 1.997, -4.434]], "species": ["Ta", "Ta", "Ta", "Ga"], "frac_coords": [[0.000, 0.000, 0.000], [0.250, 0.750, 0.500], [0.750, 0.250, 0.500], [0.500, 0.500, 0.000]], "n_ef_per_ev_atom": 1.478, "dft_energy_ev_per_atom": -9.639, "magmom_total_mub_per_cell": 0.0, "delta_e_f_ev_per_atom": 0.0076}



Record 2
{"formula": "Ce3Nd2Sb3", "functional": "PBE", "state": "optimized geometry", "lattice_angstrom": [[9.332, 0.000, 0.000], [-4.666, 8.082, 0.000], [0.000, 0.000, 6.505]], "species": ["Ce", "Ce", "Ce", "Ce", "Ce", "Ce", "Nd", "Nd", "Nd", "Nd", "Sb", "Sb", "Sb", "Sb", "Sb", "Sb"], "frac_coords": [[0.000, 0.254, 0.250], [0.000, 0.746, 0.750], [0.254, 0.000, 0.250], [0.254, 0.254, 0.750], [0.746, 0.000, 0.750], [0.746, 0.746, 0.250], [0.333, 0.667, 0.000], [0.333, 0.667, 0.500], [0.667, 0.333, 0.000], [0.667, 0.333, 0.500], [0.000, 0.385, 0.750], [0.000, 0.615, 0.250], [0.385, 0.000, 0.750], [0.385, 0.385, 0.250], [0.615, 0.000, 0.250], [0.615, 0.615, 0.750]], "n_ef_per_ev_atom": 3.119, "dft_energy_ev_per_atom": -5.783, "magmom_total_mub_per_cell": 6.3, "e_form_raw_ev_per_atom": -0.820}



Record 3
{"formula": "Sm3HoPb2", "functional": "PBE", "state": "optimized geometry", "lattice_angstrom": [[2.481, -8.118, 0.000], [2.481, 8.118, 0.000], [0.000, 0.000, 4.471]], "species": ["Sm", "Sm", "Sm", "Ho", "Pb", "Pb"], "frac_coords": [[0.000, 0.000, 0.000], [0.324, 0.676, 0.000], [0.676, 0.324, 0.000], [0.500, 0.500, 0.500], [0.150, 0.850, 0.500], [0.850, 0.150, 0.500]], "n_ef_per_ev_atom": 1.117, "dft_energy_ev_per_atom": -4.745, "magmom_total_mub_per_cell": 0.0, "delta_e_f_ev_per_atom": -0.3863, "e_above_lowest_polymorph_kj_per_mol_fu": 28.2}